1.
Density functional theory data (PBE) for Ba2TlHg6Rh after structural relaxation.

Geometry as POSCAR:
```
Ba2TlHg6Rh
1.0
-2.7986 6.4561 -1.5805
-5.3361 -3.4777 -4.9705
-7.0353 0.0812 0.9989
Ba Tl Hg Rh
2 1 6 1
direct
0.6866 0.3119 0.3719 Ba
0.3134 0.6881 0.6281 Ba
0.0000 0.0000 0.0000 Tl
0.1745 0.4005 0.4503 Hg
0.8455 0.8252 0.7754 Hg
0.3984 0.8502 0.9787 Hg
0.6016 0.1498 0.0213 Hg
0.1545 0.1748 0.2246 Hg
0.8255 0.5995 0.5497 Hg
0.5000 0.5000 0.0000 Rh
```

Values from the calculation:
For the total energy, the calculation gives -1.773 eV per atom. Its symmetry is P-1 (2). The density of states at the Fermi level is 5.22 states/eV per cell.

2.
Density functional theory data (PBE) for TcIN after structural relaxation.

Geometry as POSCAR:
```
TcIN
1.0
-3.0780 1.0838 -0.9279
1.5793 -4.9949 1.3281
-2.1129 1.6901 9.0195
I N Tc
2 2 2
direct
0.4917 0.7426 0.2006 I
0.5083 0.2574 0.7994 I
0.4599 0.2100 0.4514 N
0.5401 0.7900 0.5486 N
0.0525 0.3023 0.5615 Tc
0.9475 0.6977 0.4385 Tc
```

Values from the calculation:
The calculation puts the formation energy (no corrections) at 0.08 eV per atom. Its symmetry is P-1 (2). The density of states at the Fermi level is 4.13 states/eV per cell.

3.
Density functional theory data (PBE) for MnAg2I after structural relaxation.

Geometry as POSCAR:
```
MnAg2I
1.0
8.1054 0.0000 0.0000
0.0000 8.1054 0.0000
4.0527 4.0527 2.8192
I Mn Ag
2 2 4
direct
0.0000 0.0000 0.0000 I
0.7500 0.2500 0.5000 I
0.5000 0.5000 0.0000 Mn
0.2500 0.7500 0.5000 Mn
0.5990 0.1250 0.2500 Ag
0.1510 0.6250 0.2500 Ag
0.3750 0.4010 0.7500 Ag
0.8750 0.8490 0.7500 Ag
```

Values from the calculation:
The calculation puts the formation energy (no corrections) at 0.48 eV per atom. Its symmetry is I-42d (122). The density of states at the Fermi level is 1.73 states/eV per cell.

4.
Density functional theory data (PBE) for CaTiI6 after structural relaxation.

Geometry as POSCAR:
```
CaTiI6
1.0
-2.2949 7.6153 3.1559
-3.8489 -3.9612 -4.7737
-0.1502 -4.9478 5.9964
Ca Ti I
1 1 6
direct
0.0000 0.0000 0.0000 Ca
0.5000 0.0000 0.0000 Ti
0.8698 0.1410 0.2945 I
0.5753 0.8465 0.7055 I
0.4247 0.1535 0.2945 I
0.1302 0.8590 0.7055 I
0.2647 0.5388 0.0000 I
0.7353 0.4612 0.0000 I
```

Values from the calculation:
The calculation puts the formation energy (no corrections) at -0.97 eV per atom. Its symmetry is C2/m (12).

5.
Density functional theory data (PBE) for BaGeP2Cl after structural relaxation.

Geometry as POSCAR:
```
BaGeP2Cl
1.0
4.7564 0.0000 0.0000
0.0000 4.7564 0.0000
0.0000 0.0000 5.6526
P Ge Ba Cl
2 1 1 1
direct
0.0000 0.5000 0.0000 P
0.5000 0.0000 0.0000 P
0.0000 0.0000 0.0000 Ge
0.5000 0.5000 0.5000 Ba
0.0000 0.0000 0.5000 Cl
```

Values from the calculation:
The calculation puts the formation energy (no corrections) at -0.48 eV per atom. Its symmetry is P4/mmm (123). The density of states at the Fermi level is 2.65 states/eV per cell.

6.
Density functional theory data (PBE) for RbSnCl5 after structural relaxation.

Geometry as POSCAR:
```
RbSnCl5
1.0
-5.6909 -3.1068 -4.3364
6.6399 2.7306 -3.0493
6.1387 -7.2247 4.9203
Rb Sn Cl
2 2 10
direct
0.7650 0.5150 0.2500 Rb
0.2350 0.4850 0.7500 Rb
0.0000 0.0000 0.0000 Sn
0.5000 0.0000 0.5000 Sn
0.7307 0.9120 0.0920 Cl
0.1781 0.8967 0.5436 Cl
0.6800 0.3613 0.5920 Cl
0.3180 0.0680 0.2500 Cl
0.8531 0.6345 0.9564 Cl
0.1469 0.3655 0.0436 Cl
0.6820 0.9320 0.7500 Cl
0.3200 0.6387 0.4080 Cl
0.8219 0.1033 0.4564 Cl
0.2693 0.0880 0.9080 Cl
```

Values from the calculation:
The calculation puts the formation energy (no corrections) at -1.23 eV per atom. Its symmetry is C2/c (15). The density of states at the Fermi level is 0.00 states/eV per cell.